# CeHoZnAg GGA-PBE optimized geometry
data_CeHoZnAg
_cell_length_a 3.5754
_cell_length_b 3.5754
_cell_length_c 7.4845
_cell_angle_alpha 90.00
_cell_angle_beta 90.00
_cell_angle_gamma 90.00
_space_group_name_H-M_alt 'P 4 m m'
_space_group_IT_number 99
_space_group_name_Hall 'P 4 -2'
loop_
_atom_site_label
_atom_site_type_symbol
_atom_site_fract_x
_atom_site_fract_y
_atom_site_fract_z
Ce1 Ce 0.0000 0.0000 0.0000
Ho1 Ho 0.0000 0.0000 0.4826
Zn1 Zn 0.5000 0.5000 0.2530
Ag1 Ag 0.5000 0.5000 0.7168
# * E_tot: -3.883 eV per atom
# * excess energy over the best structure of this formula in the dataset: 0 meV/atom

# RbHfNiC2 GGA-PBE optimized geometry
data_RbHfNiC2
_cell_length_a 4.3174
_cell_length_b 4.3174
_cell_length_c 6.3047
_cell_angle_alpha 90.00
_cell_angle_beta 90.00
_cell_angle_gamma 90.00
_space_group_name_H-M_alt 'P 4/m m m'
_space_group_IT_number 123
_space_group_name_Hall '-P 4 2'
loop_
_atom_site_label
_atom_site_type_symbol
_atom_site_fract_x
_atom_site_fract_y
_atom_site_fract_z
Rb1 Rb 0.0000 0.0000 0.0000
Hf1 Hf 0.0000 0.0000 0.5000
Ni1 Ni 0.5000 0.5000 0.0000
C1 C 0.0000 0.5000 0.5000
# * E_tot: -4.867 eV per atom

# CrCuAu6 GGA-PBE optimized geometry
data_CrCuAu6
_cell_length_a 4.1091
_cell_length_b 4.1091
_cell_length_c 8.1122
_cell_angle_alpha 90.00
_cell_angle_beta 90.00
_cell_angle_gamma 90.00
_space_group_name_H-M_alt 'P 4/m m m'
_space_group_IT_number 123
_space_group_name_Hall '-P 4 2'
loop_
_atom_site_label
_atom_site_type_symbol
_atom_site_fract_x
_atom_site_fract_y
_atom_site_fract_z
Cr1 Cr 0.0000 0.0000 0.0000
Cu1 Cu 0.0000 0.0000 0.5000
Au1 Au 0.0000 0.5000 0.2530
Au2 Au 0.5000 0.5000 0.0000
Au3 Au 0.5000 0.5000 0.5000
# * E_tot: -4.152 eV per atom
# * excess energy over the best structure of this formula in the dataset: 0 meV/atom

# ZnTc2Mo GGA-PBE optimized geometry
data_ZnTc2Mo
_cell_length_a 3.2209
_cell_length_b 3.2209
_cell_length_c 5.6926
_cell_angle_alpha 90.00
_cell_angle_beta 90.00
_cell_angle_gamma 90.00
_space_group_name_H-M_alt 'P 4 m m'
_space_group_IT_number 99
_space_group_name_Hall 'P 4 -2'
loop_
_atom_site_label
_atom_site_type_symbol
_atom_site_fract_x
_atom_site_fract_y
_atom_site_fract_z
Zn1 Zn 0.0000 0.0000 0.0000
Tc1 Tc 0.0000 0.0000 0.4968
Tc2 Tc 0.5000 0.5000 0.7744
Mo1 Mo 0.5000 0.5000 0.2501
# * E_tot: -8.007 eV per atom

# MnSiPd5 GGA-PBE optimized geometry
data_MnSiPd5
_cell_length_a 7.8701
_cell_length_b 9.6046
_cell_length_c 6.9585
_cell_angle_alpha 90.00
_cell_angle_beta 122.83
_cell_angle_gamma 90.00
_space_group_name_H-M_alt 'C 1 2/c 1'
_space_group_IT_number 15
_space_group_name_Hall '-C 2yc'
loop_
_atom_site_label
_atom_site_type_symbol
_atom_site_fract_x
_atom_site_fract_y
_atom_site_fract_z
Mn1 Mn 0.0000 0.0577 0.2500
Si1 Si 0.0000 0.5000 0.0000
Pd1 Pd 0.0000 0.3290 0.2500
Pd2 Pd 0.1157 0.1691 0.6449
Pd3 Pd 0.2145 0.4048 0.8877
# * E_tot: -6.024 eV per atom
# * excess energy over the best structure of this formula in the dataset: 219 meV/atom
# * uncorrected formation energy: -1.61 eV/f.u.

# AlZn2Hg GGA-PBE optimized geometry
data_AlZn2Hg
_cell_length_a 8.4632
_cell_length_b 3.1820
_cell_length_c 5.5254
_cell_angle_alpha 90.00
_cell_angle_beta 101.17
_cell_angle_gamma 90.00
_space_group_name_H-M_alt 'C 1 m 1'
_space_group_IT_number 8
_space_group_name_Hall 'C -2y'
loop_
_atom_site_label
_atom_site_type_symbol
_atom_site_fract_x
_atom_site_fract_y
_atom_site_fract_z
Al1 Al 0.0000 0.0000 0.0000
Zn1 Zn 0.2461 0.5000 0.2312
Zn2 Zn 0.4888 0.0000 0.4337
Hg1 Hg 0.2450 0.0000 0.7191
# * E_tot: -1.537 eV per atom
# * excess energy over the best structure of this formula in the dataset: 3 meV/atom

# YSnPt2 GGA-PBE optimized geometry
data_YSnPt2
_cell_length_a 4.6275
_cell_length_b 4.6275
_cell_length_c 3.7274
_cell_angle_alpha 90.00
_cell_angle_beta 90.00
_cell_angle_gamma 90.00
_space_group_name_H-M_alt 'P 4/m m m'
_space_group_IT_number 123
_space_group_name_Hall '-P 4 2'
loop_
_atom_site_label
_atom_site_type_symbol
_atom_site_fract_x
_atom_site_fract_y
_atom_site_fract_z
Y1 Y 0.0000 0.0000 0.0000
Sn1 Sn 0.5000 0.5000 0.0000
Pt1 Pt 0.0000 0.5000 0.5000
# * E_tot: -6.484 eV per atom

# La3PI GGA-PBE optimized geometry
data_La3PI
_cell_length_a 5.6410
_cell_length_b 5.6410
_cell_length_c 5.6410
_cell_angle_alpha 90.00
_cell_angle_beta 90.00
_cell_angle_gamma 90.00
_space_group_name_H-M_alt 'P m -3 m'
_space_group_IT_number 221
_space_group_name_Hall '-P 4 2 3'
loop_
_atom_site_label
_atom_site_type_symbol
_atom_site_fract_x
_atom_site_fract_y
_atom_site_fract_z
La1 La 0.0000 0.0000 0.5000
P1 P 0.0000 0.0000 0.0000
I1 I 0.5000 0.5000 0.5000
# * E_tot: -4.994 eV per atom
# * excess energy over the best structure of this formula in the dataset: 0 meV/atom
# * uncorrected formation energy: -3.23 eV/f.u.

Please write out number 5 again, unchanged.
# MnSiPd5 GGA-PBE optimized geometry
data_MnSiPd5
_cell_length_a 7.8701
_cell_length_b 9.6046
_cell_length_c 6.9585
_cell_angle_alpha 90.00
_cell_angle_beta 122.83
_cell_angle_gamma 90.00
_space_group_name_H-M_alt 'C 1 2/c 1'
_space_group_IT_number 15
_space_group_name_Hall '-C 2yc'
loop_
_atom_site_label
_atom_site_type_symbol
_atom_site_fract_x
_atom_site_fract_y
_atom_site_fract_z
Mn1 Mn 0.0000 0.0577 0.2500
Si1 Si 0.0000 0.5000 0.0000
Pd1 Pd 0.0000 0.3290 0.2500
Pd2 Pd 0.1157 0.1691 0.6449
Pd3 Pd 0.2145 0.4048 0.8877
# * E_tot: -6.024 eV per atom
# * excess energy over the best structure of this formula in the dataset: 219 meV/atom
# * uncorrected formation energy: -1.61 eV/f.u.

Repeat the sixth record exactly.
# AlZn2Hg GGA-PBE optimized geometry
data_AlZn2Hg
_cell_length_a 8.4632
_cell_length_b 3.1820
_cell_length_c 5.5254
_cell_angle_alpha 90.00
_cell_angle_beta 101.17
_cell_angle_gamma 90.00
_space_group_name_H-M_alt 'C 1 m 1'
_space_group_IT_number 8
_space_group_name_Hall 'C -2y'
loop_
_atom_site_label
_atom_site_type_symbol
_atom_site_fract_x
_atom_site_fract_y
_atom_site_fract_z
Al1 Al 0.0000 0.0000 0.0000
Zn1 Zn 0.2461 0.5000 0.2312
Zn2 Zn 0.4888 0.0000 0.4337
Hg1 Hg 0.2450 0.0000 0.7191
# * E_tot: -1.537 eV per atom
# * excess energy over the best structure of this formula in the dataset: 3 meV/atom